A plane-wave DFT calculation with PBE was carried out for crystalline CaFe2Cl at its relaxed geometry.

CIF file:
```
data_CaFe2Cl
_chemical_formula_sum 'Ca1 Fe2 Cl1'
_symmetry_space_group_name_H-M 'P 1 2/m 1'
_symmetry_Int_Tables_number 10
_cell_length_a 3.271
_cell_length_b 5.875
_cell_length_c 4.137
_cell_angle_alpha 90.00
_cell_angle_beta 90.53
_cell_angle_gamma 90.00
loop_
_symmetry_equiv_pos_as_xyz
'x,y,z'
'-x,-y,-z'
'-x,y,-z'
'x,-y,z'
loop_
_atom_site_label
_atom_site_fract_x
_atom_site_fract_y
_atom_site_fract_z
Ca1 0.000 0.000 0.000
Fe1 0.260 0.500 0.212
Cl1 0.500 0.000 0.500
```

=====

A plane-wave DFT calculation with PBE was carried out for crystalline CaFe2Cl at its relaxed geometry.

CIF file:
```
data_CaFe2Cl
_chemical_formula_sum 'Ca2 Fe4 Cl2'
_symmetry_space_group_name_H-M 'A m m 2'
_symmetry_Int_Tables_number 38
_cell_length_a 3.252
_cell_length_b 3.274
_cell_length_c 15.151
_cell_angle_alpha 90.00
_cell_angle_beta 90.00
_cell_angle_gamma 90.00
loop_
_symmetry_equiv_pos_as_xyz
'x,y,z'
'-x,-y,z'
'-x,y,z'
'x,-y,z'
'x,y+1/2,z+1/2'
'-x,-y+1/2,z+1/2'
'-x,y+1/2,z+1/2'
'x,-y+1/2,z+1/2'
loop_
_atom_site_label
_atom_site_fract_x
_atom_site_fract_y
_atom_site_fract_z
Ca1 0.000 0.000 0.000
Fe1 0.000 0.000 0.199
Fe2 0.500 0.000 0.642
Cl1 0.500 0.000 0.397
```

=====

A plane-wave DFT calculation with PBE was carried out for crystalline CaFe2Cl at its relaxed geometry.

CIF file:
```
data_CaFe2Cl
_chemical_formula_sum 'Ca3 Fe6 Cl3'
_symmetry_space_group_name_H-M 'R -3 m'
_symmetry_Int_Tables_number 166
_symmetry_space_group_name_Hall '-R 3 2"'
_cell_length_a 3.1603
_cell_length_b 3.1603
_cell_length_c 26.0224
_cell_angle_alpha 90.00
_cell_angle_beta 90.00
_cell_angle_gamma 120.00
loop_
_atom_site_label
_atom_site_fract_x
_atom_site_fract_y
_atom_site_fract_z
Ca1 0.0000 0.0000 0.0000
Fe1 0.0000 0.0000 0.2387
Cl1 0.0000 0.0000 0.5000
```

=====

A plane-wave DFT calculation with PBE was carried out for crystalline CaFe2Cl at its relaxed geometry.

CIF file:
```
data_CaFe2Cl
_chemical_formula_sum 'Ca2 Fe4 Cl2'
_symmetry_space_group_name_H-M 'I m m 2'
_symmetry_Int_Tables_number 44
_cell_length_a 3.243
_cell_length_b 5.567
_cell_length_c 8.714
_cell_angle_alpha 90.00
_cell_angle_beta 90.00
_cell_angle_gamma 90.00
loop_
_symmetry_equiv_pos_as_xyz
'x,y,z'
'-x,-y,z'
'-x,y,z'
'x,-y,z'
'x+1/2,y+1/2,z+1/2'
'-x+1/2,-y+1/2,z+1/2'
'-x+1/2,y+1/2,z+1/2'
'x+1/2,-y+1/2,z+1/2'
loop_
_atom_site_label
_atom_site_fract_x
_atom_site_fract_y
_atom_site_fract_z
Ca1 0.000 0.000 0.000
Fe1 0.000 0.000 0.515
Fe2 0.000 0.500 0.825
Cl1 0.000 0.500 0.228
```

=====

A plane-wave DFT calculation with PBE was carried out for crystalline CaFe2Cl at its relaxed geometry.

CIF file:
```
data_CaFe2Cl
_chemical_formula_sum 'Ca4 Fe8 Cl4'
_symmetry_space_group_name_H-M 'I 41/a m d'
_symmetry_Int_Tables_number 141
_cell_length_a 4.624
_cell_length_b 4.624
_cell_length_c 14.696
_cell_angle_alpha 90.00
_cell_angle_beta 90.00
_cell_angle_gamma 90.00
loop_
_symmetry_equiv_pos_as_xyz
'x,y,z'
'-x,-y,-z'
'-y+1/4,x+3/4,z+1/4'
'y+1/4,-x+3/4,-z+1/4'
'-x+1/2,-y,z+1/2'
'x+1/2,y,-z+1/2'
'y+1/4,-x+1/4,z+3/4'
'-y+1/4,x+1/4,-z+3/4'
'x,-y,-z'
'-x,y,z'
'-y+1/4,-x+1/4,-z+3/4'
'y+1/4,x+1/4,z+3/4'
'-x+1/2,y,-z+1/2'
'x+1/2,-y,z+1/2'
'y+1/4,x+3/4,-z+1/4'
'-y+1/4,-x+3/4,z+1/4'
'x+1/2,y+1/2,z+1/2'
'-x+1/2,-y+1/2,-z+1/2'
'-y+3/4,x+1/4,z+3/4'
'y+3/4,-x+1/4,-z+3/4'
'-x,-y+1/2,z'
'x,y+1/2,-z'
'y+3/4,-x+3/4,z+1/4'
'-y+3/4,x+3/4,-z+1/4'
'x+1/2,-y+1/2,-z+1/2'
'-x+1/2,y+1/2,z+1/2'
'-y+3/4,-x+3/4,-z+1/4'
'y+3/4,x+3/4,z+1/4'
'-x,y+1/2,-z'
'x,-y+1/2,z'
'y+3/4,x+1/4,-z+3/4'
'-y+3/4,-x+1/4,z+3/4'
loop_
_atom_site_label
_atom_site_fract_x
_atom_site_fract_y
_atom_site_fract_z
Ca1 0.000 0.250 0.375
Fe1 0.000 0.000 0.000
Cl1 0.000 0.250 0.875
```

=====

A plane-wave DFT calculation with PBE was carried out for crystalline CaFe2Cl at its relaxed geometry.

CIF file:
```
data_CaFe2Cl
_chemical_formula_sum 'Ca2 Fe4 Cl2'
_symmetry_space_group_name_H-M 'C m m m'
_symmetry_Int_Tables_number 65
_symmetry_space_group_name_Hall '-C 2 2'
_cell_length_a 5.113
_cell_length_b 10.226
_cell_length_c 3.142
_cell_angle_alpha 90.00
_cell_angle_beta 90.00
_cell_angle_gamma 90.00
loop_
_atom_site_label
_atom_site_fract_x
_atom_site_fract_y
_atom_site_fract_z
Ca1 0.000 0.000 0.000
Fe1 0.250 0.250 0.500
Cl1 0.000 0.500 0.000
```

=====

| no. | V (Å³ per cell) | spin magnetization (μB/cell) | formation energy from raw total energies (kJ per mole of atoms) |
| --- | --- | --- | --- |
| 1 | 79 | 5.454 | 0.5 |
| 2 | 161 | 10.555 | -20.8 |
| 3 | 225 | 16.667 | 47.3 |
| 4 | 157 | 9.937 | 19.2 |
| 5 | 314 | 10.633 | 39.0 |
| 6 | 164 | 12.013 | 34.7 |